(w)
Entry from the Alexandria database: a relaxed KBiAu crystal (GGA-PBE).

Lattice parameters (Å, degrees): 6.796 6.796 6.796 145.09 145.09 50.20
Sites, in units of the cell vectors:
K1 0.000 0.000 0.000
Bi1 0.719 0.719 0.000
Au1 0.271 0.271 0.000

Calculated values
Its symmetry is I4mm, No. 107. As for the density of states at the Fermi level: 0.495 states/eV/atom. The density comes out at 7.23 Mg/m³. For the total magnetic moment, the calculation gives 0.00 Bohr magnetons per cell.



(x)
Entry from the Alexandria database: a relaxed KBiAu crystal (GGA-PBE).

Lattice parameters (Å, degrees): 6.943 3.724 7.667 90.00 90.11 90.00
Sites, in units of the cell vectors:
K1 0.249 0.000 0.209
K2 0.751 0.000 0.791
Bi1 0.251 0.500 0.778
Bi2 0.749 0.500 0.222
Au1 0.000 0.500 0.500
Au2 0.500 0.500 0.500

Calculated values
Its symmetry is P2/m, No. 10. As for the density of states at the Fermi level: 0.331 states/eV/atom. The density comes out at 7.46 Mg/m³. For the total magnetic moment, the calculation gives 0.00 Bohr magnetons per cell.



(y)
Entry from the Alexandria database: a relaxed KBiAu crystal (GGA-PBE).

Lattice parameters (Å, degrees): 4.477 4.829 6.321 68.66 69.43 62.82
Sites, in units of the cell vectors:
K1 0.000 0.000 0.000
Bi1 0.514 0.469 0.496
Au1 0.800 0.793 0.606

Calculated values
Its symmetry is P1, No. 1. As for the density of states at the Fermi level: 1.007 states/eV/atom. The density comes out at 6.70 Mg/m³. For the total magnetic moment, the calculation gives 0.00 Bohr magnetons per cell.



The structure with the most favorable energy is (x); the runner-up is 0.031 eV/atom above it.



(w)
Entry from the Alexandria database: a relaxed KBiAu crystal (GGA-PBE).

Lattice parameters (Å, degrees): 4.469 7.234 7.238 92.63 107.57 107.93
Sites, in units of the cell vectors:
K1 0.000 0.000 0.000
K2 0.462 0.554 0.352
Bi1 0.282 0.016 0.527
Bi2 0.673 0.460 0.874
Au1 0.217 0.692 0.732
Au2 0.963 0.258 0.651

Calculated values
Its symmetry is P1, No. 1. As for the density of states at the Fermi level: 0.289 states/eV/atom. The density comes out at 7.05 Mg/m³. For the total magnetic moment, the calculation gives 0.00 Bohr magnetons per cell.



(x)
Entry from the Alexandria database: a relaxed KBiAu crystal (GGA-PBE).

Lattice parameters (Å, degrees): 4.494 6.450 7.672 76.70 89.81 89.88
Sites, in units of the cell vectors:
K1 0.001 0.335 0.276
K2 0.999 0.665 0.724
Bi1 0.499 0.812 0.209
Bi2 0.501 0.188 0.791
Au1 0.000 0.000 0.000
Au2 0.500 0.000 0.500

Calculated values
Its symmetry is P-1, No. 2. As for the density of states at the Fermi level: 0.138 states/eV/atom. The density comes out at 6.83 Mg/m³. For the total magnetic moment, the calculation gives 0.00 Bohr magnetons per cell.



The structure with the most favorable energy is (x); the runner-up is 0.039 eV/atom above it.



(w)
Entry from the Alexandria database: a relaxed KBiAu crystal (GGA-PBE).

Lattice parameters (Å, degrees): 5.829 5.829 7.373 116.44 116.44 77.49
Sites, in units of the cell vectors:
K1 0.213 0.213 0.002
K2 0.787 0.787 0.998
Bi1 0.316 0.316 0.563
Bi2 0.684 0.684 0.437
Au1 0.203 0.797 0.500
Au2 0.797 0.203 0.500

Calculated values
Its symmetry is C2/m, No. 12. As for the density of states at the Fermi level: 0.206 states/eV/atom. The density comes out at 7.36 Mg/m³. For the total magnetic moment, the calculation gives 0.00 Bohr magnetons per cell.



(x)
Entry from the Alexandria database: a relaxed KBiAu crystal (GGA-PBE).

Lattice parameters (Å, degrees): 4.865 4.865 5.059 90.00 90.00 120.00
Sites, in units of the cell vectors:
K1 0.000 0.000 0.000
Bi1 0.333 0.667 0.500
Au1 0.667 0.333 0.500

Calculated values
Its symmetry is P-6m2, No. 187. As for the density of states at the Fermi level: 0.941 states/eV/atom. The density comes out at 7.13 Mg/m³. For the total magnetic moment, the calculation gives 0.00 Bohr magnetons per cell.



(y)
Entry from the Alexandria database: a relaxed KBiAu crystal (GGA-PBE).

Lattice parameters (Å, degrees): 3.909 7.299 7.490 90.00 105.04 90.00
Sites, in units of the cell vectors:
K1 0.000 0.000 0.000
K2 0.158 0.500 0.315
Bi1 0.252 0.000 0.502
Bi2 0.419 0.500 0.837
Au1 0.822 0.268 0.642
Au2 0.822 0.732 0.642

Calculated values
Its symmetry is Pm, No. 6. As for the density of states at the Fermi level: 0.389 states/eV/atom. The density comes out at 7.16 Mg/m³. For the total magnetic moment, the calculation gives 0.00 Bohr magnetons per cell.



The structure with the most favorable energy is (x); the runner-up is 0.053 eV/atom above it.